[1]
Material: Y8TlIn2
Method: DFT, GGA-PBE
State: optimized geometry

Results
ΔE to the lowest computed polymorph	0.0	meV per atom
E_form	-0.2016	eV/atom
DOS at the Fermi energy	1.28	states/eV/atom
density	5.8	g/cm³
V	325.7	Å³/f.u.
spin magnetization	0.69	μB/f.u.

Cell lengths 5.117, 8.565, 14.862 Å; angles 90.00, 90.00, 90.00 degrees
Space group Immm (No. 71)
Asymmetric unit:
Y (0.000, 0.000, 0.142) x4
Y (0.000, 0.217, 0.341) x8
Y (0.000, 0.309, 0.000) x4
Tl (0.000, 0.500, 0.500) x2
In (0.000, 0.500, 0.195) x4

=====

[2]
Material: BaScCo2
Method: DFT, GGA-PBE
State: optimized geometry

Results
ΔE to the lowest computed polymorph	513.6	meV per atom
E_form	0.5958	eV/atom
DOS at the Fermi energy	0.85	states/eV/atom
density	5.8	g/cm³
V	86.2	Å³/f.u.
spin magnetization	1.39	μB/f.u.

Cell lengths 3.5425, 3.5425, 23.7908 Å; angles 90.00, 90.00, 120.00 degrees
Space group R-3m (No. 166, hexagonal axes)
Asymmetric unit:
Ba (0.0000, 0.0000, 0.0000) x3
Sc (0.0000, 0.0000, 0.5000) x3
Co (0.0000, 0.0000, 0.2378) x6

=====

[3]
Material: TlTeRhN2
Method: DFT, GGA-PBE
State: optimized geometry

Results
ΔE to the lowest computed polymorph	0.0	meV per atom
DOS at the Fermi energy	0.78	states/eV/atom
density	8.3	g/cm³
V	92.9	Å³/f.u.
spin magnetization	1.56	μB/f.u.
formation energy from raw total energies	1.11	eV/atom

Cell lengths 4.068, 4.068, 5.612 Å; angles 90.00, 90.00, 90.00 degrees
Space group P4/mmm (No. 123)
Asymmetric unit:
Tl (0.000, 0.000, 0.000) x1
Te (0.500, 0.500, 0.000) x1
Rh (0.500, 0.500, 0.500) x1
N (0.000, 0.500, 0.500) x2

=====

[4]
Material: PmEr3Sc6
Method: DFT, GGA-PBE
State: optimized geometry

Results
ΔE to the lowest computed polymorph	244.5	meV per atom
E_form	0.4004	eV/atom
DOS at the Fermi energy	2.14	states/eV/atom
density	5.5	g/cm³
V	278.3	Å³/f.u.
spin magnetization	0.00	μB/f.u.

Cell lengths 9.2450, 9.2450, 11.2785 Å; angles 90.00, 90.00, 120.00 degrees
Space group R32 (No. 155, hexagonal axes)
Asymmetric unit:
Pm (0.0000, 0.0000, 0.0000) x3
Er (0.0000, 0.0000, 0.2511) x6
Er (0.0000, 0.0000, 0.5000) x3
Sc (0.0000, 0.3339, 0.0000) x9
Sc (0.0000, 0.6696, 0.5000) x9

=====

[5]
Material: CdPd2I
Method: DFT, GGA-PBE
State: optimized geometry

Results
ΔE to the lowest computed polymorph	85.4	meV per atom
DOS at the Fermi energy	0.65	states/eV/atom
density	8.4	g/cm³
V	89.8	Å³/f.u.
spin magnetization	0.00	μB/f.u.
formation energy from raw total energies	0.13	eV/atom

Cell lengths 4.471, 4.471, 17.974 Å; angles 90.00, 90.00, 90.00 degrees
Space group I-42d (No. 122)
Asymmetric unit:
Cd (0.000, 0.000, 0.000) x4
Pd (0.238, 0.250, 0.625) x8
I (0.000, 0.000, 0.500) x4

=====

[6]
Material: ZnCd2Ga
Method: DFT, GGA-PBE
State: optimized geometry

Results
E_form	0.1016	eV/atom
DOS at the Fermi energy	0.31	states/eV/atom
density	7.3	g/cm³
V	82.2	Å³/f.u.
spin magnetization	0.00	μB/f.u.

Cell lengths 3.440, 3.440, 6.948 Å; angles 90.00, 90.00, 90.00 degrees
Space group P4/mmm (No. 123)
Asymmetric unit:
Zn (0.000, 0.000, 0.000) x1
Cd (0.500, 0.500, 0.240) x2
Ga (0.000, 0.000, 0.500) x1

=====

[7]
Material: Zn2Cu13
Method: DFT, GGA-PBE
State: optimized geometry

Results
E_form	-0.0334	eV/atom
DOS at the Fermi energy	0.22	states/eV/atom
density	8.7	g/cm³
V	182.8	Å³/f.u.
spin magnetization	0.00	μB/f.u.

Cell lengths 5.730, 5.817, 6.338 Å; angles 68.12, 68.94, 84.26 degrees
Space group P-1 (No. 2)
Asymmetric unit:
Zn (0.137, 0.467, 0.295) x2
Cu (0.000, 0.000, 0.500) x1
Cu (0.068, 0.736, 0.899) x2
Cu (0.200, 0.198, 0.701) x2
Cu (0.268, 0.936, 0.099) x2
Cu (0.335, 0.668, 0.501) x2
Cu (0.399, 0.399, 0.898) x2
Cu (0.468, 0.131, 0.300) x2

=====

[8]
Material: Zr2TaW
Method: DFT, GGA-PBE
State: optimized geometry

Results
ΔE to the lowest computed polymorph	76.2	meV per atom
E_form	0.1358	eV/atom
DOS at the Fermi energy	1.51	states/eV/atom
density	11.7	g/cm³
V	77.6	Å³/f.u.
spin magnetization	0.00	μB/f.u.

Cell lengths 4.776, 4.776, 6.805 Å; angles 90.00, 90.00, 90.00 degrees
Space group I-4m2 (No. 119)
Asymmetric unit:
Zr (0.000, 0.000, 0.000) x2
Zr (0.000, 0.500, 0.250) x2
Ta (0.000, 0.500, 0.750) x2
W (0.000, 0.000, 0.500) x2

=====

[9]
Material: MnCu2B2
Method: DFT, GGA-PBE
State: optimized geometry

Results
ΔE to the lowest computed polymorph	0.0	meV per atom
E_form	0.5894	eV/atom
DOS at the Fermi energy	0.29	states/eV/atom
density	7.1	g/cm³
V	47.8	Å³/f.u.
spin magnetization	2.33	μB/f.u.

Cell lengths 6.347, 6.347, 2.375 Å; angles 90.00, 90.00, 90.00 degrees
Space group P4/mbm (No. 127)
Asymmetric unit:
Mn (0.000, 0.000, 0.000) x2
Cu (0.131, 0.369, 0.000) x4
B (0.173, 0.673, 0.500) x4

=====

[10]
Material: Rb5SiSe4Br2
Method: DFT, GGA-PBE
State: optimized geometry

Results
density	3.2	g/cm³
V	488.1	Å³/f.u.
spin magnetization	1.04	μB/f.u.
formation energy from raw total energies	-1.16	eV/atom

Cell lengths 10.351, 11.370, 8.294 Å; angles 90.00, 90.00, 90.00 degrees
Space group Amm2 (No. 38)
Asymmetric unit:
Rb (0.000, 0.000, 0.000) x2
Rb (0.263, 0.203, 0.469) x8
Si (0.500, 0.000, 0.983) x2
Se (0.317, 0.000, 0.133) x4
Se (0.500, 0.136, 0.774) x4
Br (0.000, 0.227, 0.723) x4

=====

[11]
Material: KPuMgTe3
Method: DFT, GGA-PBE
State: optimized geometry

Results
DOS at the Fermi energy	2.20	states/eV/atom
density	5.1	g/cm³
V	225.3	Å³/f.u.
spin magnetization	5.00	μB/f.u.
formation energy from raw total energies	-1.01	eV/atom

Cell lengths 9.593, 4.577, 10.722 Å; angles 90.00, 106.82, 90.00 degrees
Space group P2_1/m (No. 11)
Asymmetric unit:
K (0.209, 0.250, 0.231) x2
Pu (0.326, 0.750, 0.859) x2
Mg (0.087, 0.250, 0.607) x2
Te (0.103, 0.250, 0.869) x2
Te (0.218, 0.750, 0.535) x2
Te (0.462, 0.750, 0.160) x2

=====

[12]
Material: YScBe2
Method: DFT, GGA-PBE
State: optimized geometry

Results
ΔE to the lowest computed polymorph	18.6	meV per atom
E_form	0.0437	eV/atom
DOS at the Fermi energy	1.26	states/eV/atom
density	3.5	g/cm³
V	72.1	Å³/f.u.
spin magnetization	0.00	μB/f.u.

Cell lengths 6.608, 6.608, 6.608 Å; angles 90.00, 90.00, 90.00 degrees
Space group Fm-3m (No. 225)
Asymmetric unit:
Y (0.000, 0.000, 0.000) x4
Sc (0.000, 0.000, 0.500) x4
Be (0.250, 0.250, 0.250) x8

=====

[13]
Material: Nd5Y4Sc2
Method: DFT, GGA-PBE
State: optimized geometry

Results
ΔE to the lowest computed polymorph	166.2	meV per atom
E_form	0.2459	eV/atom
DOS at the Fermi energy	1.75	states/eV/atom
density	5.2	g/cm³
V	372.4	Å³/f.u.
spin magnetization	0.00	μB/f.u.

Cell lengths 3.501, 9.234, 23.038 Å; angles 90.00, 90.00, 90.00 degrees
Space group Immm (No. 71)
Asymmetric unit:
Nd (0.000, 0.000, 0.000) x2
Nd (0.000, 0.295, 0.347) x8
Y (0.000, 0.189, 0.500) x4
Y (0.000, 0.500, 0.100) x4
Sc (0.000, 0.500, 0.231) x4

=====

[14]
Material: Co6Ni23Os
Method: DFT, GGA-PBE
State: optimized geometry

Results
E_form	0.1964	eV/atom
DOS at the Fermi energy	1.89	states/eV/atom
density	9.2	g/cm³
V	343.3	Å³/f.u.
spin magnetization	24.71	μB/f.u.

Cell lengths 11.115, 11.115, 11.115 Å; angles 90.00, 90.00, 90.00 degrees
Space group Fm-3m (No. 225)
Asymmetric unit:
Co (0.000, 0.000, 0.244) x24
Ni (0.000, 0.000, 0.500) x4
Ni (0.000, 0.250, 0.250) x24
Ni (0.128, 0.128, 0.372) x32
Ni (0.136, 0.136, 0.136) x32
Os (0.000, 0.000, 0.000) x4

=====

[15]
Material: PdIBrO2
Method: DFT, GGA-PBE
State: optimized geometry

Results
ΔE to the lowest computed polymorph	191.7	meV per atom
DOS at the Fermi energy	0.87	states/eV/atom
density	4.8	g/cm³
V	120.2	Å³/f.u.
spin magnetization	0.00	μB/f.u.
formation energy from raw total energies	0.49	eV/atom

Cell lengths 3.856, 3.856, 8.083 Å; angles 90.00, 90.00, 90.00 degrees
Space group P4/mmm (No. 123)
Asymmetric unit:
Pd (0.000, 0.000, 0.000) x1
I (0.500, 0.500, 0.000) x1
Br (0.500, 0.500, 0.500) x1
O (0.000, 0.500, 0.500) x2

=====

[16]
Material: Sm2Ho3In4
Method: DFT, GGA-PBE
State: optimized geometry

Results
ΔE to the lowest computed polymorph	0.0	meV per atom
E_form	-0.4050	eV/atom
DOS at the Fermi energy	0.91	states/eV/atom
density	8.3	g/cm³
V	251.4	Å³/f.u.
spin magnetization	0.00	μB/f.u.

Cell lengths 9.159, 5.296, 10.366 Å; angles 90.00, 90.12, 90.00 degrees
Space group C2/m (No. 12)
Asymmetric unit:
Sm (0.167, 0.000, 0.278) x4
Ho (0.000, 0.500, 0.500) x2
Ho (0.166, 0.000, 0.926) x4
In (0.000, 0.500, 0.152) x4
In (0.166, 0.000, 0.601) x4

=====

[17]
Material: Sc2CuSi2
Method: DFT, GGA-PBE
State: optimized geometry

Results
DOS at the Fermi energy	0.77	states/eV/atom
density	4.2	g/cm³
V	83.8	Å³/f.u.
spin magnetization	0.00	μB/f.u.
formation energy from raw total energies	-0.68	eV/atom

Cell lengths 6.398, 6.398, 4.094 Å; angles 90.00, 90.00, 90.00 degrees
Space group P4/mbm (No. 127)
Asymmetric unit:
Sc (0.172, 0.328, 0.000) x4
Cu (0.000, 0.000, 0.500) x2
Si (0.132, 0.632, 0.500) x4

=====

[18]
Material: Nd4Au2C
Method: DFT, GGA-PBE
State: optimized geometry

Results
E_form	-0.3823	eV/atom
DOS at the Fermi energy	1.25	states/eV/atom
density	8.5	g/cm³
V	191.2	Å³/f.u.
spin magnetization	0.00	μB/f.u.

Cell lengths 5.077, 5.077, 14.839 Å; angles 90.00, 90.00, 90.00 degrees
Space group I4/mmm (No. 139)
Asymmetric unit:
Nd (0.000, 0.000, 0.173) x4
Nd (0.000, 0.500, 0.000) x4
Au (0.000, 0.000, 0.373) x4
C (0.000, 0.000, 0.000) x2

=====

[19]
Material: LaTeOs2
Method: DFT, GGA-PBE
State: optimized geometry

Results
DOS at the Fermi energy	0.93	states/eV/atom
density	13.4	g/cm³
V	80.2	Å³/f.u.
spin magnetization	0.00	μB/f.u.
formation energy from raw total energies	0.62	eV/atom

Cell lengths 6.153, 9.823, 3.058 Å; angles 90.00, 119.76, 90.00 degrees
Space group C2/m (No. 12)
Asymmetric unit:
La (0.000, 0.000, 0.000) x2
Te (0.000, 0.500, 0.000) x2
Os (0.250, 0.250, 0.500) x4

=====

[20]
Material: CsNiHCl6
Method: DFT, GGA-PBE
State: optimized geometry

Results
total energy	-27.80	eV for the cell shown
DOS at the Fermi energy	0.09	states/eV/atom
density	2.7	g/cm³
V	250.8	Å³/f.u.
spin magnetization	0.00	μB/f.u.

Cell lengths 6.077, 6.891, 7.320 Å; angles 65.83, 66.05, 70.88 degrees
Space group P1 (No. 1)
Asymmetric unit:
Cs (0.000, 0.000, 0.000) x1
Ni (0.500, 0.500, 0.500) x1
H (0.002, 0.499, 0.499) x1
Cl (0.173, 0.554, 0.777) x1
Cl (0.269, 0.413, 0.378) x1
Cl (0.407, 0.850, 0.314) x1
Cl (0.593, 0.150, 0.686) x1
Cl (0.731, 0.587, 0.621) x1
Cl (0.826, 0.446, 0.222) x1